Entry from Alexandria: a relaxed structure of SrAg3Pb (PBE).

As for the total magnetic moment: 0.0 μB/cell. The energy above the most stable polymorph in this dataset is 331.4 meV per atom. The total energy comes out at -13.146 eV/cell. As for the formation energy: 160 meV per atom. Its space-group type is No. 221.

Lattice parameters (Å, degrees): 5.3793 5.3793 5.3793 90.00 90.00 90.00
With the nearest neighbours (Å) after each atom.
Element x y z (fractional)
Ag 0.5000 0.0000 0.0000  2 Pb 2.69
Pb 0.0000 0.0000 0.0000  6 Ag 2.69
Ag 0.0000 0.0000 0.5000  2 Pb 2.69
Ag 0.0000 0.5000 0.0000  2 Pb 2.69
Sr 0.5000 0.5000 0.5000  12 Ag 3.80